## RbGdAuSe3 (PBE)

Data for a geometry-optimized RbGdAuSe3 structure.

It has space group Cmcm (No. 63), with a = 4.109 Å, b = 15.666 Å, c = 10.752 Å, α = 90.00°, β = 90.00° and γ = 90.00°. The asymmetric unit holds Rb at (0.000, 0.248, 0.250), Gd at (0.000, 0.000, 0.000), Au at (0.000, 0.465, 0.750), Se at (0.000, 0.073, 0.750) and Se at (0.000, 0.373, 0.550).

Its total magnetization is 0.42 Bohr magnetons per cell. For the final energy, the calculation gives -4.34 eV per atom. As for the crystal system: orthorhombic.

---

## RbGdTe3Au (PBE)

Data for a geometry-optimized RbGdTe3Au structure.

It has space group Cmcm (No. 63), with a = 4.290 Å, b = 17.016 Å, c = 11.325 Å, α = 90.00°, β = 90.00° and γ = 90.00°. The asymmetric unit holds Rb at (0.000, 0.245, 0.250), Gd at (0.000, 0.000, 0.000), Te at (0.000, 0.075, 0.750), Te at (0.000, 0.373, 0.553) and Au at (0.000, 0.468, 0.750).

Its total magnetization is 0.05 Bohr magnetons per cell. For the final energy, the calculation gives -3.98 eV per atom. As for the crystal system: orthorhombic.

---

## GdSnAuSeS2 (PBE)

Data for a geometry-optimized GdSnAuSeS2 structure.

It has space group Cmcm (No. 63), with a = 4.167 Å, b = 14.347 Å, c = 10.528 Å, α = 90.00°, β = 90.00° and γ = 90.00°. The asymmetric unit holds Gd at (0.000, 0.000, 0.000), Sn at (0.000, 0.295, 0.250), Au at (0.000, 0.358, 0.750), Se at (0.000, 0.073, 0.750) and S at (0.000, 0.371, 0.526).

Its total magnetization is 0.02 Bohr magnetons per cell. For the final energy, the calculation gives -4.90 eV per atom. As for the crystal system: orthorhombic.

---

## SmGd2AuS6 (PBE)

Data for a geometry-optimized SmGd2AuS6 structure.

It has space group P-1 (No. 2), with a = 4.310 Å, b = 6.755 Å, c = 8.473 Å, α = 90.01°, β = 102.36° and γ = 96.09°. The asymmetric unit holds Sm at (0.000, 0.000, 0.000), Gd at (0.368, 0.455, 0.727), Au at (0.000, 0.000, 0.500), S at (0.149, 0.318, 0.394), S at (0.176, 0.821, 0.298) and S at (0.447, 0.734, 0.975).

Its total magnetization is 0.01 Bohr magnetons per cell. For the final energy, the calculation gives -5.71 eV per atom. As for the crystal system: triclinic.

---

## Sm2GdAuS6 (PBE)

Data for a geometry-optimized Sm2GdAuS6 structure.

It has space group P-1 (No. 2), with a = 4.294 Å, b = 6.765 Å, c = 8.574 Å, α = 89.18°, β = 77.90° and γ = 84.74°. The asymmetric unit holds Sm at (0.131, 0.454, 0.229), Gd at (0.500, 0.000, 0.500), Au at (0.500, 0.000, 0.000), S at (0.049, 0.740, 0.471), S at (0.329, 0.829, 0.795) and S at (0.345, 0.318, 0.899).

Its total magnetization is 0.01 Bohr magnetons per cell. For the final energy, the calculation gives -5.72 eV per atom. As for the crystal system: triclinic.

---

## GdSnTeAuS2 (PBE)

Data for a geometry-optimized GdSnTeAuS2 structure.

It has space group Cmcm (No. 63), with a = 4.050 Å, b = 13.861 Å, c = 11.158 Å, α = 90.00°, β = 90.00° and γ = 90.00°. The asymmetric unit holds Gd at (0.000, 0.000, 0.000), Sn at (0.000, 0.200, 0.250), Te at (0.000, 0.114, 0.750), Au at (0.000, 0.474, 0.750) and S at (0.000, 0.370, 0.564).

Its total magnetization is 0.01 Bohr magnetons per cell. For the final energy, the calculation gives -4.71 eV per atom. As for the crystal system: orthorhombic.

---

## GdSnTe2AuS (PBE)

Data for a geometry-optimized GdSnTe2AuS structure.

It has space group Cmcm (No. 63), with a = 4.281 Å, b = 14.603 Å, c = 10.310 Å, α = 90.00°, β = 90.00° and γ = 90.00°. The asymmetric unit holds Gd at (0.000, 0.000, 0.000), Sn at (0.000, 0.274, 0.250), Te at (0.000, 0.347, 0.559), Au at (0.000, 0.481, 0.750) and S at (0.000, 0.083, 0.750).

Its total magnetization is 0.02 Bohr magnetons per cell. For the final energy, the calculation gives -4.46 eV per atom. As for the crystal system: orthorhombic.

---

## SrGdTe2AuS (PBE)

Data for a geometry-optimized SrGdTe2AuS structure.

It has space group Cmcm (No. 63), with a = 4.327 Å, b = 14.614 Å, c = 10.642 Å, α = 90.00°, β = 90.00° and γ = 90.00°. The asymmetric unit holds Sr at (0.000, 0.226, 0.250), Gd at (0.000, 0.500, 0.000), Te at (0.000, 0.150, 0.559), Au at (0.000, 0.020, 0.750) and S at (0.000, 0.423, 0.750).

Its total magnetization is 0.01 Bohr magnetons per cell. For the final energy, the calculation gives -4.64 eV per atom. As for the crystal system: orthorhombic.